A plane-wave DFT calculation with PBE was carried out for a geometry-optimized Li3Nd3TiSe8 structure.

a b c (Å): 8.2474 8.2467 8.0398
angles (deg): 120.88 90.00 120.00
Fractional positions:
Li1 0.0000 0.0000 0.0000
Li2 0.0000 0.5000 0.0000
Li3 0.5000 0.5000 0.0000
Nd1 0.5000 0.0000 0.5000
Nd2 0.5000 0.5000 0.5000
Nd3 0.0000 0.5000 0.5000
Ti1 0.0000 0.0000 0.5000
Se1 0.2451 0.4903 0.2357
Se2 0.7549 0.5097 0.7643
Se3 0.7708 0.5416 0.2595
Se4 0.2292 0.4584 0.7405
Se5 0.7708 0.9885 0.2595
Se6 0.2292 0.0115 0.7405
Se7 0.2176 0.9885 0.2595
Se8 0.7824 0.0115 0.7405

Computed properties:
Raw total energy, eV per atom: -5.240
ρ, g/cm³: 4.9
Crystal system: trigonal